Run a
## NbAsOF2 (PBE)

Data for a geometry-optimized NbAsOF2 structure.

Lattice parameters (Å, degrees): 4.345 4.345 3.964 90.00 90.00 90.00
Space group P4/mmm (No. 123)
Asymmetric unit:
Nb (0.000, 0.000, 0.000) x1
As (0.500, 0.500, 0.500) x1
O (0.000, 0.000, 0.500) x1
F (0.000, 0.500, 0.000) x2

Its size of the total moment is 2.9 μB per formula unit. The density of states at the Fermi level comes out at 0.772 states/eV/atom.


Run b
## NbAsOF2 (PBE)

Data for a geometry-optimized NbAsOF2 structure.

Lattice parameters (Å, degrees): 4.322 4.322 4.061 90.00 90.00 90.00
Space group P4/mmm (No. 123)
Asymmetric unit:
Nb (0.000, 0.000, 0.000) x1
As (0.500, 0.500, 0.500) x1
O (0.500, 0.500, 0.000) x1
F (0.000, 0.500, 0.500) x2

Its size of the total moment is 3.8 μB per formula unit. The density of states at the Fermi level comes out at 0.847 states/eV/atom.


Stability summary: most stable run a, least stable run b.


Run a
## NdAsF (PBE)

Data for a geometry-optimized NdAsF structure.

Lattice parameters (Å, degrees): 9.294 4.097 7.903 90.00 108.25 90.00
Space group C2/m (No. 12)
Asymmetric unit:
Nd (0.161, 0.000, 0.267) x4
As (0.171, 0.000, 0.888) x4
F (0.157, 0.500, 0.431) x4

Its size of the total moment is 0.0 μB per formula unit. The density of states at the Fermi level comes out at 0.245 states/eV/atom.


Run b
## NdAsF (PBE)

Data for a geometry-optimized NdAsF structure.

Lattice parameters (Å, degrees): 3.371 3.371 10.662 90.00 90.00 90.00
Space group I4mm (No. 107)
Asymmetric unit:
Nd (0.000, 0.000, 0.000) x2
As (0.000, 0.000, 0.298) x2
F (0.000, 0.000, 0.576) x2

Its size of the total moment is 0.0 μB per formula unit. The density of states at the Fermi level comes out at 0.519 states/eV/atom.


Run c
## NdAsF (PBE)

Data for a geometry-optimized NdAsF structure.

Lattice parameters (Å, degrees): 4.0711 4.0711 4.4263 90.00 90.00 120.00
Space group P-6m2 (No. 187)
Asymmetric unit:
Nd (0.0000, 0.0000, 0.0000) x1
As (0.6667, 0.3333, 0.5000) x1
F (0.3333, 0.6667, 0.0000) x1

Its size of the total moment is 0.0 μB per formula unit. The density of states at the Fermi level comes out at 0.703 states/eV/atom.


Stability summary: most stable run a, least stable run b.